1.
ZrSb2Cl (PBE, relaxed); mass density = 6.23 g/cm³; relative energy among the computed polymorphs = 331 meV/atom; electronic total energy = -0.18320 hartree per atom; D(E_F) = 0.795 states/eV per atom
1.0
5.6653 0.0016 -0.0034
4.5350 3.3955 -0.0034
0.9277 0.3090 5.1327
Sb Zr Cl
2 1 1
Cartesian
5.3583 1.7845 2.7657 Sb
1.1334 0.3775 4.9299 Sb
8.3460 2.7795 3.8444 Zr
2.7820 0.9265 1.2815 Cl


2.
Pa2MoWN6 (PBE, relaxed); mass density = 9.67 g/cm³; electronic total energy = -0.37127 hartree per atom; D(E_F) = 0.572 states/eV per atom
1.0
4.5142 0.0000 0.0000
0.0000 5.6060 0.0000
0.0000 0.0000 5.6060
Pa W N Mo
2 1 6 1
Cartesian
4.3466 2.8030 0.0000 Pa
4.3466 0.0000 2.8030 Pa
2.6691 0.0000 0.0000 W
3.3402 1.3911 4.2149 N
3.3402 1.3911 1.3911 N
0.8686 0.0000 0.0000 N
3.3402 4.2149 4.2149 N
0.8679 2.8030 2.8030 N
3.3402 4.2149 1.3911 N
2.6425 2.8030 2.8030 Mo